Model 1:
The following is a PBE calculation of a geometry-optimized Re3HgC structure, from the Alexandria database.

Cell: 4.9524 4.9524 4.9524 Å, 90.00 90.00 90.00°
With the nearest neighbours (Å) after each atom.
Fractional positions:
Re1 0.0000 0.5000 0.0000  2 Hg 2.48
Re2 0.0000 0.0000 0.5000  2 Hg 2.48
Re3 0.5000 0.0000 0.0000  2 Hg 2.48
C1 0.5000 0.5000 0.5000  12 Re 3.50
Hg1 0.0000 0.0000 0.0000  6 Re 2.48

Output
As for the space-group type: Pm-3m, No. 221. The density of states at the Fermi level comes out at 6.647 states/eV/f.u. For the magnetic moment, the calculation gives 0.9730 μB per atom.

=====

Model 2:
The following is a PBE calculation of a geometry-optimized Re3HgC structure, from the Alexandria database.

Cell: 4.1566 4.1566 4.1566 Å, 90.00 90.00 90.00°
With the nearest neighbours (Å) after each atom.
Fractional positions:
Re1 0.0000 0.5000 0.0000  2 C 2.08
Re2 0.0000 0.0000 0.5000  2 C 2.08
Re3 0.5000 0.0000 0.0000  2 C 2.08
C1 0.0000 0.0000 0.0000  6 Re 2.08
Hg1 0.5000 0.5000 0.5000  12 Re 2.94

Output
As for the space-group type: Pm-3m, No. 221. The density of states at the Fermi level comes out at 3.733 states/eV/f.u. For the magnetic moment, the calculation gives 0.0000 μB per atom.

=====

The data favor model 2; the next most stable structure lies 3975 meV per atom above it.

=====

Model 1:
The following is a PBE calculation of a geometry-optimized ReHgC3 structure, from the Alexandria database.

Cell: 4.1097 4.1097 4.1097 Å, 90.00 90.00 90.00°
With the nearest neighbours (Å) after each atom.
Fractional positions:
Re1 0.0000 0.0000 0.0000  6 C 2.05
C1 0.0000 0.5000 0.0000  2 Re 2.05
C2 0.0000 0.0000 0.5000  2 Re 2.05
C3 0.5000 0.0000 0.0000  2 Re 2.05
Hg1 0.5000 0.5000 0.5000  12 C 2.91

Output
As for the space-group type: Pm-3m, No. 221. The density of states at the Fermi level comes out at 3.606 states/eV/f.u. For the magnetic moment, the calculation gives 0.0000 μB per atom.

=====

Model 2:
The following is a PBE calculation of a geometry-optimized ReHgC3 structure, from the Alexandria database.

Cell: 4.1084 4.1084 4.1084 Å, 90.00 90.00 90.00°
With the nearest neighbours (Å) after each atom.
Fractional positions:
Re1 0.5000 0.5000 0.5000  12 C 2.91
C1 0.0000 0.5000 0.0000  2 Hg 2.05
C2 0.0000 0.0000 0.5000  2 Hg 2.05
C3 0.5000 0.0000 0.0000  2 Hg 2.05
Hg1 0.0000 0.0000 0.0000  6 C 2.05

Output
As for the space-group type: Pm-3m, No. 221. The density of states at the Fermi level comes out at 3.092 states/eV/f.u. For the magnetic moment, the calculation gives 0.0000 μB per atom.

=====

The data favor model 1; the next most stable structure lies 2167 meV per atom above it.

=====

Model 1:
The following is a PBE calculation of a geometry-optimized Re2HgC structure, from the Alexandria database.

Cell: 4.9561 4.9561 6.9262 Å, 69.04 69.04 90.00°
With the nearest neighbours (Å) after each atom.
Fractional positions:
Re1 0.4681 0.1250 0.2500  2 C 1.99
Re2 0.2819 0.6250 0.2500  2 C 1.99
Re3 0.3750 0.5319 0.7500  2 C 1.99
Re4 0.8750 0.7181 0.7500  2 C 1.99
C1 0.5000 0.5000 0.0000  4 Re 1.99
C2 0.2500 0.7500 0.5000  4 Re 1.99
Hg1 0.0000 0.0000 0.0000  4 Re 2.80
Hg2 0.7500 0.2500 0.5000  4 Re 2.80

Output
As for the space-group type: I-42d, No. 122. The density of states at the Fermi level comes out at 4.143 states/eV/f.u. For the magnetic moment, the calculation gives 0.0000 μB per atom.

=====

Model 2:
The following is a PBE calculation of a geometry-optimized Re2HgC structure, from the Alexandria database.

Cell: 4.3188 4.3188 4.3188 Å, 60.00 60.00 60.00°
With the nearest neighbours (Å) after each atom.
Fractional positions:
Re1 0.2500 0.2500 0.2500  4 Hg 2.64, 4 C 2.64
Re2 0.7500 0.7500 0.7500  4 Hg 2.64, 4 C 2.64
C1 0.0000 0.0000 0.0000  8 Re 2.64
Hg1 0.5000 0.5000 0.5000  8 Re 2.64

Output
As for the space-group type: Fm-3m, No. 225. The density of states at the Fermi level comes out at 3.468 states/eV/f.u. For the magnetic moment, the calculation gives 0.0000 μB per atom.

=====

The data favor model 1; the next most stable structure lies 687 meV per atom above it.

=====

Model 1:
The following is a PBE calculation of a geometry-optimized HgRh2C2 structure, from the Alexandria database.

Cell: 3.2574 3.2574 6.7556 Å, 76.05 76.05 90.00°
With the nearest neighbours (Å) after each atom.
Fractional positions:
C1 0.7500 0.2500 0.5000  4 Rh 2.03
C2 0.2500 0.7500 0.5000  4 Rh 2.03
Rh1 0.3456 0.3456 0.3087  4 C 2.03
Rh2 0.6544 0.6544 0.6913  4 C 2.03
Hg1 0.0000 0.0000 0.0000  8 Rh 3.02, 4 Hg 3.26

Output
As for the space-group type: I4/mmm, No. 139. The density of states at the Fermi level comes out at 1.779 states/eV/f.u. For the magnetic moment, the calculation gives 0.0000 μB per atom.

=====

Model 2:
The following is a PBE calculation of a geometry-optimized HgRh2C2 structure, from the Alexandria database.

Cell: 7.1334 7.1334 2.8620 Å, 90.00 90.00 90.00°
With the nearest neighbours (Å) after each atom.
Fractional positions:
C1 0.0692 0.5692 0.5000  1 C 1.40
C2 0.5692 0.9308 0.5000  1 C 1.40
C3 0.9308 0.4308 0.5000  1 C 1.40
C4 0.4308 0.0692 0.5000  1 C 1.40
Rh1 0.3491 0.8491 0.0000  4 C 2.20
Rh2 0.8491 0.6509 0.0000  4 C 2.20
Rh3 0.6509 0.1509 0.0000  4 C 2.20
Rh4 0.1509 0.3491 0.0000  4 C 2.20
Hg1 0.0000 0.0000 0.0000  4 Rh 2.71, 2 Hg 2.86
Hg2 0.5000 0.5000 0.0000  4 Rh 2.71, 2 Hg 2.86

Output
As for the space-group type: P4/mbm, No. 127. The density of states at the Fermi level comes out at 2.498 states/eV/f.u. For the magnetic moment, the calculation gives 0.0000 μB per atom.

=====

The data favor model 1; the next most stable structure lies 476 meV per atom above it.

=====

Model 1:
The following is a PBE calculation of a geometry-optimized HgRhC3 structure, from the Alexandria database.

Cell: 4.0726 4.0726 4.0726 Å, 90.00 90.00 90.00°
With the nearest neighbours (Å) after each atom.
Fractional positions:
C1 0.0000 0.5000 0.0000  2 Rh 2.04
C2 0.0000 0.0000 0.5000  2 Rh 2.04
C3 0.5000 0.0000 0.0000  2 Rh 2.04
Rh1 0.0000 0.0000 0.0000  6 C 2.04
Hg1 0.5000 0.5000 0.5000  12 C 2.88

Output
As for the space-group type: Pm-3m, No. 221. The density of states at the Fermi level comes out at 4.129 states/eV/f.u. For the magnetic moment, the calculation gives 0.1668 μB per atom.

=====

Model 2:
The following is a PBE calculation of a geometry-optimized HgRhC3 structure, from the Alexandria database.

Cell: 4.2013 4.2013 4.2013 Å, 90.00 90.00 90.00°
With the nearest neighbours (Å) after each atom.
Fractional positions:
C1 0.0000 0.5000 0.0000  2 Hg 2.10
C2 0.0000 0.0000 0.5000  2 Hg 2.10
C3 0.5000 0.0000 0.0000  2 Hg 2.10
Rh1 0.5000 0.5000 0.5000  12 C 2.97
Hg1 0.0000 0.0000 0.0000  6 C 2.10

Output
As for the space-group type: Pm-3m, No. 221. The density of states at the Fermi level comes out at 3.674 states/eV/f.u. For the magnetic moment, the calculation gives 0.0000 μB per atom.

=====

The data favor model 1; the next most stable structure lies 1286 meV per atom above it.

=====

Model 1:
The following is a PBE calculation of a geometry-optimized HgRh3C structure, from the Alexandria database.

Cell: 4.9755 4.9755 4.9755 Å, 90.00 90.00 90.00°
With the nearest neighbours (Å) after each atom.
Fractional positions:
C1 0.5000 0.5000 0.5000  12 Rh 3.52
Rh1 0.0000 0.5000 0.0000  2 Hg 2.49
Rh2 0.0000 0.0000 0.5000  2 Hg 2.49
Rh3 0.5000 0.0000 0.0000  2 Hg 2.49
Hg1 0.0000 0.0000 0.0000  6 Rh 2.49

Output
As for the space-group type: Pm-3m, No. 221. The density of states at the Fermi level comes out at 6.577 states/eV/f.u. For the magnetic moment, the calculation gives 0.6878 μB per atom.

=====

Model 2:
The following is a PBE calculation of a geometry-optimized HgRh3C structure, from the Alexandria database.

Cell: 4.1358 4.1358 4.1358 Å, 90.00 90.00 90.00°
With the nearest neighbours (Å) after each atom.
Fractional positions:
C1 0.0000 0.0000 0.0000  6 Rh 2.07
Rh1 0.0000 0.5000 0.0000  2 C 2.07
Rh2 0.0000 0.0000 0.5000  2 C 2.07
Rh3 0.5000 0.0000 0.0000  2 C 2.07
Hg1 0.5000 0.5000 0.5000  12 Rh 2.92

Output
As for the space-group type: Pm-3m, No. 221. The density of states at the Fermi level comes out at 5.808 states/eV/f.u. For the magnetic moment, the calculation gives 0.0000 μB per atom.

=====

The data favor model 2; the next most stable structure lies 2962 meV per atom above it.